Below is a relaxed structure of Tb3ErSe6, with properties calculated at the PBE level.

Properties
- electronic total energy (hartree per atom) = -0.2127
- crystal system = trigonal
- size of the total moment (Bohr magnetons per cell) = 0.0
- raw formation energy (eV per atom) = -1.85

Lattice parameters (Å, degrees): 11.9825 11.9825 14.3080 90.00 90.00 120.00
With the nearest neighbours (Å) after each atom.
Space group R-3 (No. 148, hexagonal axes)
One atom of each set of equivalent atoms:
Tb 0.0526 0.7808 0.2015 x18  6 Se 2.85-2.96
Er 0.0000 0.0000 0.0000 x3  6 Se 2.79
Er 0.0000 0.0000 0.5000 x3  6 Se 2.83
Se 0.0188 0.8085 0.3967 x18  1 Er 2.83, 3 Tb 2.86-2.96
Se 0.0324 0.8380 0.8765 x18  1 Er 2.79, 3 Tb 2.85-2.95

=====

Below is a relaxed structure of LaCrP, with properties calculated at the PBE level.

Properties
- electronic total energy (hartree per atom) = -0.2736
- crystal system = tetragonal
- ΔH_f (0 K) (meV per atom) = -791
- size of the total moment (Bohr magnetons per cell) = 1.3

Lattice parameters (Å, degrees): 3.7606 3.7606 9.1995 90.00 90.00 90.00
With the nearest neighbours (Å) after each atom.
Space group P4/nmm (No. 129, origin choice 2)
One atom of each set of equivalent atoms:
La 0.2500 0.2500 0.2020 x2  4 P 2.98, 4 Cr 3.32
Cr 0.2500 0.7500 0.5000 x2  4 P 2.34
P 0.2500 0.2500 0.6522 x2  4 Cr 2.34